1.
Density functional theory data (GGA-PBEsol) for a relaxed SrNi5As3 crystal.

Structure (POSCAR):
```
SrNi5As3
1.0
3.709 0.000 0.000
-1.855 6.036 0.000
0.000 0.000 11.779
Ni As Sr
10 6 2
Cartesian
1.855 0.583 1.704
0.000 0.000 0.000
1.855 3.706 6.678
0.000 5.454 7.593
1.855 3.706 10.990
0.000 5.454 10.075
0.000 0.000 5.889
1.855 0.583 4.186
0.000 2.330 5.101
0.000 2.330 0.789
1.855 1.461 11.296
1.855 4.674 8.834
0.000 4.576 0.483
0.000 4.576 5.407
0.000 1.362 2.945
1.855 1.461 6.372
1.855 4.049 2.945
0.000 1.987 8.834
```

Summary:
symmetry = Cmcm (63)
total DFT energy (no corrections) = -5.89 eV per atom
crystal system = orthorhombic
ΔE_f = -558.8 meV/atom

---

2.
Density functional theory data (GGA-PBEsol) for a relaxed MnIn2Te4 crystal.

Structure (POSCAR):
```
MnIn2Te4
1.0
-0.403 3.909 1.834
-1.789 -3.038 6.083
26.929 -0.759 7.541
Te Mn In
16 4 8
Cartesian
1.401 0.911 6.057
16.620 -0.827 7.983
18.320 -2.121 11.114
23.337 -0.799 9.399
11.831 -1.734 8.863
25.364 -1.997 12.400
20.931 -0.544 13.455
6.417 2.233 4.342
14.467 -0.144 11.181
19.578 1.337 9.148
-0.627 2.110 3.056
5.160 -1.224 6.309
10.270 0.256 4.276
8.117 0.940 7.474
12.906 1.847 6.593
3.806 0.656 2.002
21.351 -0.078 7.425
17.224 0.444 10.534
3.386 0.190 8.032
7.514 -0.331 4.923
17.427 0.381 5.585
1.115 0.724 1.267
21.550 0.669 11.005
13.939 -0.743 7.214
23.623 -0.611 14.190
7.310 -0.268 9.872
10.798 0.855 8.243
3.187 -0.557 4.452
```

Summary:
symmetry = Pnma (62)
total DFT energy (no corrections) = -4.43 eV per atom
crystal system = orthorhombic

---

3.
Density functional theory data (GGA-PBEsol) for a relaxed Li2CaPt2 crystal.

Structure (POSCAR):
```
Li2CaPt2
1.0
2.838 0.000 0.000
0.000 7.417 0.000
0.000 0.000 7.417
Li Pt Ca
4 4 2
Cartesian
0.000 2.860 6.569
0.000 6.569 4.557
0.000 4.557 0.848
0.000 0.848 2.860
1.419 2.371 1.337
1.419 6.080 2.371
1.419 1.337 5.046
1.419 5.046 6.080
0.000 0.000 0.000
0.000 3.709 3.709
```

Summary:
symmetry = P4/mbm (127)
total DFT energy (no corrections) = -4.56 eV per atom
crystal system = tetragonal
ΔE_f = -563.4 meV/atom

---

4.
Density functional theory data (GGA-PBEsol) for a relaxed Cd2TcAg crystal.

Structure (POSCAR):
```
Cd2TcAg
1.0
4.622 0.000 0.000
2.311 4.003 0.000
2.311 1.334 3.774
Cd Ag Tc
2 1 1
Cartesian
2.311 1.334 0.944
0.000 0.000 0.000
4.622 2.669 1.887
6.933 4.003 2.831
```

Summary:
energy above the lowest structure with this stoichiometry = 0.034 eV per atom
symmetry = F-43m (216)
total DFT energy (no corrections) = -3.73 eV per atom
crystal system = cubic
ΔE_f = 512.3 meV/atom

---

5.
Density functional theory data (GGA-PBEsol) for a relaxed MnZnHg2 crystal.

Structure (POSCAR):
```
MnZnHg2
1.0
-2.913 0.122 -0.343
0.507 -0.601 -4.515
0.897 -5.145 3.112
Hg Mn Zn
2 1 1
Cartesian
-1.632 -3.019 0.219
-0.004 -0.065 0.008
-1.206 -0.298 -2.422
0.129 -2.483 -1.981
```

Summary:
energy above the lowest structure with this stoichiometry = 0.006 eV per atom
symmetry = Imm2 (44)
total DFT energy (no corrections) = -2.88 eV per atom
crystal system = orthorhombic
ΔE_f = 234.3 meV/atom

---

6.
Density functional theory data (GGA-PBEsol) for a relaxed SiRu crystal.

Structure (POSCAR):
```
SiRu
1.0
2.909 0.000 0.000
0.000 2.909 0.000
0.000 0.000 2.909
Ru Si
1 1
Cartesian
1.454 1.454 1.454
0.000 0.000 0.000
```

Summary:
symmetry = Pm-3m (221)
total DFT energy (no corrections) = -8.67 eV per atom
crystal system = cubic

---

7.
Density functional theory data (GGA-PBEsol) for a relaxed TcAsCl2 crystal.

Structure (POSCAR):
```
TcAsCl2
1.0
-0.198 3.132 0.644
-2.579 0.225 -1.886
-4.904 -1.648 6.510
As Cl Tc
1 2 1
Cartesian
-4.155 0.749 3.051
-2.869 1.181 1.344
-4.662 -1.567 6.189
-3.351 -1.126 4.448
```

Summary:
energy above the lowest structure with this stoichiometry = 0.000 eV per atom
symmetry = P4mm (99)
total DFT energy (no corrections) = -5.23 eV per atom
crystal system = tetragonal

---

8.
Density functional theory data (GGA-PBEsol) for a relaxed K2HBr crystal.

Structure (POSCAR):
```
K2HBr
1.0
-1.036 -5.122 0.774
-0.736 -3.201 -4.137
3.634 -3.641 -1.202
K H Br
2 1 1
Cartesian
1.396 -8.972 -3.424
0.465 -2.991 -1.141
0.000 0.000 0.000
0.931 -5.981 -2.282
```

Summary:
energy above the lowest structure with this stoichiometry = 0.039 eV per atom
symmetry = Fm-3m (225)
total DFT energy (no corrections) = -2.71 eV per atom
crystal system = cubic